[1]
# PBE CeAsH2, relaxed
# DFT total energy: -4.8693 eV/atom
# Size of the total moment: 0.58 μB/f.u.
data_CeAsH2
_cell_length_a 4.1278
_cell_length_b 4.1278
_cell_length_c 11.2204
_cell_angle_alpha 90.00
_cell_angle_beta 90.00
_cell_angle_gamma 120.00
_symmetry_space_group_name_H-M 'R -3 m'
_symmetry_Int_Tables_number 166
_symmetry_space_group_name_Hall '-R 3 2"'
loop_
_atom_site_label
_atom_site_type_symbol
_atom_site_fract_x
_atom_site_fract_y
_atom_site_fract_z
Ce1 Ce 0.0000 0.0000 0.0000
As1 As 0.0000 0.0000 0.5000
H1 H 0.0000 0.0000 0.3270

[2]
# PBE NbSb2F, relaxed
# Polymorph energy (0 for the lowest one): 0.273 eV/atom
# Uncorrected formation energy: -5 meV/atom
# Size of the total moment: 0.00 μB/f.u.
data_NbSb2F
_cell_length_a 5.888
_cell_length_b 5.888
_cell_length_c 12.700
_cell_angle_alpha 90.00
_cell_angle_beta 90.00
_cell_angle_gamma 90.00
_symmetry_space_group_name_H-M 'I -4 2 d'
_symmetry_Int_Tables_number 122
_symmetry_space_group_name_Hall 'I -4 2bw'
loop_
_atom_site_label
_atom_site_type_symbol
_atom_site_fract_x
_atom_site_fract_y
_atom_site_fract_z
Nb1 Nb 0.000 0.000 0.000
Sb1 Sb 0.231 0.250 0.625
F1 F 0.000 0.000 0.500

[3]
# PBE MnTeIN2, relaxed
# Polymorph energy (0 for the lowest one): 0.175 eV/atom
# Uncorrected formation energy: 1294 meV/atom
# Size of the total moment: 0.00 μB/f.u.
data_MnTeIN2
_cell_length_a 3.941
_cell_length_b 3.941
_cell_length_c 5.664
_cell_angle_alpha 90.00
_cell_angle_beta 90.00
_cell_angle_gamma 90.00
_symmetry_space_group_name_H-M 'P 4/m m m'
_symmetry_Int_Tables_number 123
_symmetry_space_group_name_Hall '-P 4 2'
loop_
_atom_site_label
_atom_site_type_symbol
_atom_site_fract_x
_atom_site_fract_y
_atom_site_fract_z
Mn1 Mn 0.000 0.000 0.000
Te1 Te 0.500 0.500 0.500
I1 I 0.000 0.000 0.500
N1 N 0.000 0.500 0.000

Which V belongs to each record? In order, 55; 110; 88 Å³/f.u..
Which DOS(E_F) belongs to each record? In order, 11.71; 16.71; 6.19 states/eV/cell.